Entry 1:
Here is a relaxed structure of LuBIr from the Alexandria database. Energies are from GGA-PBE.

The structure in CIF format:
```
data_LuBIr
_chemical_formula_sum 'Lu2 B2 Ir2'
_cell_length_a 2.9225
_cell_length_b 2.9225
_cell_length_c 10.0873
_cell_angle_alpha 90.00
_cell_angle_beta 90.00
_cell_angle_gamma 90.00
_symmetry_space_group_name_H-M 'I 4 m m'
_symmetry_Int_Tables_number 107
_symmetry_space_group_name_Hall 'I 4 -2'
loop_
_atom_site_label
_atom_site_type_symbol
_atom_site_fract_x
_atom_site_fract_y
_atom_site_fract_z
Lu1 Lu 0.0000 0.0000 0.0000
B1 B 0.0000 0.0000 0.6864
Ir1 Ir 0.0000 0.0000 0.2810
```

Results
As for the density of states at the Fermi level: 0.40 states/eV/atom. The calculation puts the distance to the lowest polymorph of the same formula at 34.1 kJ per mole of atoms. As for the crystal system: tetragonal. For the total magnetic moment, the calculation gives 0.000 μB/f.u. The total energy is -21.112 eV/f.u.

---

Entry 2:
Here is a relaxed structure of LuB2Ir3 from the Alexandria database. Energies are from GGA-PBE.

The structure in CIF format:
```
data_LuB2Ir3
_chemical_formula_sum 'Lu1 B2 Ir3'
_cell_length_a 5.4415
_cell_length_b 5.4415
_cell_length_c 3.1400
_cell_angle_alpha 90.00
_cell_angle_beta 90.00
_cell_angle_gamma 120.00
_symmetry_space_group_name_H-M 'P 6/m m m'
_symmetry_Int_Tables_number 191
_symmetry_space_group_name_Hall '-P 6 2'
loop_
_atom_site_label
_atom_site_type_symbol
_atom_site_fract_x
_atom_site_fract_y
_atom_site_fract_z
Lu1 Lu 0.0000 0.0000 0.0000
B1 B 0.3333 0.6667 0.0000
Ir1 Ir 0.0000 0.5000 0.5000
```

Results
As for the density of states at the Fermi level: 0.14 states/eV/atom. As for the crystal system: hexagonal. For the total magnetic moment, the calculation gives 0.000 μB/f.u. The total energy is -48.538 eV/f.u.

---

Entry 3:
Here is a relaxed structure of LuBIr from the Alexandria database. Energies are from GGA-PBE.

The structure in CIF format:
```
data_LuBIr
_chemical_formula_sum 'Lu1 B1 Ir1'
_cell_length_a 3.6755
_cell_length_b 3.6755
_cell_length_c 4.1037
_cell_angle_alpha 90.00
_cell_angle_beta 90.00
_cell_angle_gamma 120.00
_symmetry_space_group_name_H-M 'P -6 m 2'
_symmetry_Int_Tables_number 187
_symmetry_space_group_name_Hall 'P -6 2'
loop_
_atom_site_label
_atom_site_type_symbol
_atom_site_fract_x
_atom_site_fract_y
_atom_site_fract_z
Lu1 Lu 0.0000 0.0000 0.0000
B1 B 0.6667 0.3333 0.5000
Ir1 Ir 0.3333 0.6667 0.5000
```

Results
As for the density of states at the Fermi level: 0.57 states/eV/atom. The calculation puts the distance to the lowest polymorph of the same formula at 0.0 kJ per mole of atoms. As for the crystal system: hexagonal. For the total magnetic moment, the calculation gives 0.000 μB/f.u. The total energy is -22.173 eV/f.u.

---

Entry 4:
Here is a relaxed structure of YLuB8Ir8 from the Alexandria database. Energies are from GGA-PBE.

The structure in CIF format:
```
data_YLuB8Ir8
_chemical_formula_sum 'Y1 Lu1 B8 Ir8'
_cell_length_a 5.3992
_cell_length_b 5.3992
_cell_length_c 7.4588
_cell_angle_alpha 90.00
_cell_angle_beta 90.00
_cell_angle_gamma 90.00
_symmetry_space_group_name_H-M 'P -4 m 2'
_symmetry_Int_Tables_number 115
_symmetry_space_group_name_Hall 'P -4 -2'
loop_
_atom_site_label
_atom_site_type_symbol
_atom_site_fract_x
_atom_site_fract_y
_atom_site_fract_z
Y1 Y 0.0000 0.0000 0.0000
Lu1 Lu 0.5000 0.5000 0.5000
B1 B 0.0000 0.3272 0.3473
B2 B 0.1720 0.5000 0.8467
Ir1 Ir 0.0000 0.2496 0.6428
Ir2 Ir 0.2515 0.5000 0.1467
```

Results
As for the density of states at the Fermi level: 0.39 states/eV/atom. As for the crystal system: tetragonal. For the total magnetic moment, the calculation gives 0.003 μB/f.u. The total energy is -144.220 eV/f.u.

---

Entry 5:
Here is a relaxed structure of MgB6Ir12 from the Alexandria database. Energies are from GGA-PBE.

The structure in CIF format:
```
data_MgB6Ir12
_chemical_formula_sum 'Mg3 B18 Ir36'
_cell_length_a 10.3088
_cell_length_b 10.3088
_cell_length_c 8.1214
_cell_angle_alpha 90.00
_cell_angle_beta 90.00
_cell_angle_gamma 120.00
_symmetry_space_group_name_H-M 'R -3 m'
_symmetry_Int_Tables_number 166
_symmetry_space_group_name_Hall '-R 3 2"'
loop_
_atom_site_label
_atom_site_type_symbol
_atom_site_fract_x
_atom_site_fract_y
_atom_site_fract_z
Mg1 Mg 0.0000 0.0000 0.0000
B1 B 0.0407 0.5204 0.2878
Ir1 Ir 0.0000 0.3643 0.5000
Ir2 Ir 0.0869 0.1738 0.3570
```

Results
As for the density of states at the Fermi level: 0.84 states/eV/atom. As for the crystal system: trigonal. For the total magnetic moment, the calculation gives 0.000 μB/f.u. The total energy is -149.989 eV/f.u.

---

Entry 6:
Here is a relaxed structure of MgBIr2 from the Alexandria database. Energies are from GGA-PBE.

The structure in CIF format:
```
data_MgBIr2
_chemical_formula_sum 'Mg2 B2 Ir4'
_cell_length_a 5.0231
_cell_length_b 2.9111
_cell_length_c 7.4761
_cell_angle_alpha 90.00
_cell_angle_beta 102.67
_cell_angle_gamma 90.00
_symmetry_space_group_name_H-M 'C 1 m 1'
_symmetry_Int_Tables_number 8
_symmetry_space_group_name_Hall 'C -2y'
loop_
_atom_site_label
_atom_site_type_symbol
_atom_site_fract_x
_atom_site_fract_y
_atom_site_fract_z
Mg1 Mg 0.0000 0.0000 0.0000
B1 B 0.3341 0.5000 0.5015
Ir1 Ir 0.2323 0.0000 0.6933
Ir2 Ir 0.4356 0.0000 0.3087
```

Results
As for the density of states at the Fermi level: 0.57 states/eV/atom. As for the crystal system: monoclinic. For the total magnetic moment, the calculation gives 0.000 μB/f.u. The total energy is -26.845 eV/f.u.

---

Energy relative to the elements across the listed records, respectively: -351; -680; -705; -496; -105; -213 meV per atom.